Below is a geometry-optimized CdHRh3 structure, with properties calculated at the PBE level.

a = 4.9077 Å, b = 4.9132 Å, c = 5.7121 Å
α = 72.12°, β = 89.71°, γ = 80.75°
Closest atoms and distances in Å follow each position.
Space group P1 (No. 1)
Asymmetric unit:
Cd  0.0000  0.0000  0.0000 [1 per cell]  2 H 2.41-2.46
Cd  0.5004  0.0047  0.7447 [1 per cell]  2 H 2.51-2.79, 1 Rh 2.77
H  0.1924  0.2902  0.2064 [1 per cell]  3 Rh 1.81-1.90
H  0.6025  0.3992  0.9063 [1 per cell]  3 Rh 1.76-1.82
Rh  0.2408  0.5094  0.8752 [1 per cell]  2 H 1.76-1.90
Rh  0.2514  0.5201  0.3884 [1 per cell]  1 H 1.81
Rh  0.5023  0.0007  0.2610 [1 per cell]  1 H 1.86
Rh  0.7481  0.5026  0.1502 [1 per cell]  1 H 1.81
Rh  0.7631  0.5187  0.6127 [1 per cell]  1 H 1.82
Rh  0.9994  0.0074  0.4931 [1 per cell]  1 H 2.13

Calculated values
Magnetization (μB per atom): 0.000
Energy above the most stable polymorph in this dataset (kJ/mol of formula units): 17
Crystal system: triclinic

Below is a geometry-optimized CoRu6Rh8 structure, with properties calculated at the PBE level.

a = 9.7645 Å, b = 9.7645 Å, c = 2.7162 Å
α = 90.00°, β = 90.00°, γ = 120.00°
Closest atoms and distances in Å follow each position.
Space group P-3 (No. 147)
Asymmetric unit:
Co  0.0000  0.0000  0.0000 [1 per cell]  6 Rh 2.58, 2 Co 2.72
Ru  0.0879  0.6186  0.7499 [6 per cell]  4 Ru 2.49-2.72, 5 Rh 2.58-2.61
Rh  0.0759  0.2844  0.7474 [6 per cell]  1 Co 2.58, 3 Ru 2.60-2.61, 6 Rh 2.72-2.84
Rh  0.3333  0.6667  0.2519 [2 per cell]  6 Ru 2.58-2.59, 2 Rh 2.72

Calculated values
Magnetization (μB per atom): 0.193
Formation energy (meV/atom): 326
Crystal system: trigonal

Below is a geometry-optimized TbYHo3Th structure, with properties calculated at the PBE level.

a = 10.6290 Å, b = 3.5587 Å, c = 10.6307 Å
α = 90.00°, β = 109.24°, γ = 90.00°
Closest atoms and distances in Å follow each position.
Space group P2_1/m (No. 11)
Asymmetric unit:
Tb  0.1261  0.2500  0.1274 [2 per cell]  6 Ho 3.52-3.55, 2 Th 3.54, 4 Tb 3.56-3.59
Y  0.2932  0.2500  0.6222 [2 per cell]  3 Th 3.50-3.53, 7 Ho 3.56-3.58, 2 Y 3.56
Ho  0.0413  0.7500  0.3735 [2 per cell]  2 Tb 3.52, 6 Ho 3.55-3.57, 3 Y 3.56-3.57, 1 Th 3.56
Ho  0.2085  0.7500  0.8758 [2 per cell]  3 Tb 3.55, 7 Ho 3.55-3.56, 2 Y 3.58
Ho  0.4570  0.2500  0.1257 [2 per cell]  2 Th 3.52, 1 Tb 3.52, 7 Ho 3.55-3.57, 2 Y 3.57
Th  0.3769  0.7500  0.3744 [2 per cell]  3 Y 3.50-3.53, 3 Ho 3.52-3.56, 4 Th 3.54-3.56, 2 Tb 3.54

Calculated values
Magnetization (μB per atom): 0.000
Formation energy (meV/atom): 25
Crystal system: monoclinic

Below is a geometry-optimized Dy8Mg2Ir structure, with properties calculated at the PBE level.

a = 17.5437 Å, b = 5.4295 Å, c = 7.0314 Å
α = 90.00°, β = 111.19°, γ = 90.00°
Closest atoms and distances in Å follow each position.
Space group C2/m (No. 12)
Asymmetric unit:
Dy  0.0151  0.0000  0.2808 [4 per cell]  2 Ir 3.18, 1 Mg 3.20, 5 Dy 3.31-3.47
Dy  0.0990  0.5000  0.9099 [4 per cell]  1 Ir 2.78
Dy  0.1466  0.5000  0.4327 [4 per cell]  1 Ir 2.78
Dy  0.1947  0.0000  0.7630 [4 per cell]  3 Mg 3.13-3.41, 2 Dy 3.47
Mg  0.1823  0.0000  0.1955 [4 per cell]  9 Dy 3.13-3.41
Ir  0.0000  0.5000  0.5000 [2 per cell]  4 Dy 2.78

Calculated values
Magnetization (μB per atom): 0.000
Formation energy (meV/atom): -158
Crystal system: monoclinic

Below is a geometry-optimized Mn2HgAu structure, with properties calculated at the PBE level.

a = 4.5130 Å, b = 4.5130 Å, c = 3.4405 Å
α = 90.00°, β = 90.00°, γ = 90.00°
Closest atoms and distances in Å follow each position.
Space group P4/mmm (No. 123)
Asymmetric unit:
Mn  0.0000  0.5000  0.0000 [2 per cell]  4 Hg 2.84, 4 Au 2.84
Hg  0.0000  0.0000  0.5000 [1 per cell]  8 Mn 2.84
Au  0.5000  0.5000  0.5000 [1 per cell]  8 Mn 2.84

Calculated values
Magnetization (μB per atom): 2.035
Formation energy (meV/atom): 173
Crystal system: tetragonal

Below is a geometry-optimized Dy2RuPb structure, with properties calculated at the PBE level.

a = 4.9337 Å, b = 4.9337 Å, c = 3.8710 Å
α = 90.00°, β = 90.00°, γ = 90.00°
Closest atoms and distances in Å follow each position.
Space group P4/mmm (No. 123)
Asymmetric unit:
Dy  0.0000  0.5000  0.0000 [2 per cell]  4 Pb 3.14, 4 Ru 3.14, 4 Dy 3.49
Ru  0.0000  0.0000  0.5000 [1 per cell]  8 Dy 3.14, 4 Pb 3.49
Pb  0.5000  0.5000  0.5000 [1 per cell]  8 Dy 3.14, 4 Ru 3.49

Calculated values
Magnetization (μB per atom): 0.000
Formation energy (meV/atom): -278
Energy above the most stable polymorph in this dataset (kJ/mol of formula units): 75
Crystal system: tetragonal